(1)
BeIn8 after structural relaxation. Source: Alexandria, functional PBE-GGA.

Properties
Density of states at the Fermi level   2.081 states/eV per cell
ΔE_f   0.21 eV per atom
Theoretical density   6.74 g/cm³
E_tot   -0.097 Ha/atom
SG   I4/mmm, No. 139

a b c (Å): 7.5436 7.5436 7.5436
angles (deg): 94.85 94.85 146.21
With the nearest neighbours (Å) after each atom.
Fractional positions:
In 0.6546 0.6546 0.3092  2 Be 3.13, 6 In 3.16-3.21
In 0.0000 0.3239 0.3239  10 In 3.21-3.53, 1 Be 3.31
In 0.0000 0.6761 0.6761  10 In 3.21-3.53, 1 Be 3.31
In 0.3454 0.3454 0.6908  2 Be 3.13, 6 In 3.16-3.21
In 0.3239 0.0000 0.3239  10 In 3.21-3.53, 1 Be 3.31
In 0.6761 0.0000 0.6761  10 In 3.21-3.53, 1 Be 3.31
In 0.3454 0.6546 0.0000  2 Be 3.13, 6 In 3.16-3.21
In 0.6546 0.3454 0.0000  2 Be 3.13, 6 In 3.16-3.21
Be 0.0000 0.0000 0.0000  12 In 3.13-3.31

(2)
Pm2Y2Te5 after structural relaxation. Source: Alexandria, functional PBE-GGA.

Properties
Density of states at the Fermi level   6.257 states/eV per cell
Theoretical density   6.12 g/cm³
Formation energy without anion corrections   -1226 meV/atom
E_tot   -0.201 Ha/atom
SG   Ima2, No. 46

a b c (Å): 7.8696 8.2313 10.8763
angles (deg): 112.23 111.21 90.00
With the nearest neighbours (Å) after each atom.
Fractional positions:
Te 0.6889 0.7168 0.6924  2 Pm 3.08-3.17, 2 Y 3.15-3.18
Te 0.1329 0.1629 0.8799  2 Pm 3.06-3.11, 2 Y 3.06-3.16
Te 0.7531 0.7831 0.1201  2 Pm 3.06-3.11, 2 Y 3.06-3.16
Te 0.0786 0.7402 0.5000  2 Y 3.09-3.14, 2 Pm 3.14
Te 0.3111 0.0244 0.3076  2 Pm 3.08-3.17, 2 Y 3.15-3.18
Te 0.5035 0.2168 0.6924  2 Pm 3.08-3.17, 2 Y 3.15-3.18
Te 0.9214 0.2402 0.5000  2 Y 3.09-3.14, 2 Pm 3.14
Te 0.8671 0.2831 0.1201  2 Pm 3.06-3.11, 2 Y 3.06-3.16
Te 0.4965 0.5244 0.3076  2 Pm 3.08-3.17, 2 Y 3.15-3.18
Te 0.2469 0.6629 0.8799  2 Pm 3.06-3.11, 2 Y 3.06-3.16
Y 0.7246 0.9149 0.5000  4 Te 3.09-3.18
Y 0.5000 0.4299 0.0000  6 Te 3.06-3.16
Y 0.2754 0.4149 0.5000  4 Te 3.09-3.18
Y 0.0000 0.9299 0.0000  6 Te 3.06-3.16
Pm 0.5890 0.1329 0.2019  5 Te 3.06-3.17
Pm 0.1129 0.6329 0.2019  5 Te 3.06-3.17
Pm 0.4110 0.9310 0.7981  5 Te 3.06-3.17
Pm 0.8871 0.4310 0.7981  5 Te 3.06-3.17

(3)
Ac5Tl2 after structural relaxation. Source: Alexandria, functional PBE-GGA.

Properties
Density of states at the Fermi level   18.215 states/eV per cell
Distance to the lowest polymorph of the same formula   0.000 eV/atom
ΔE_f   -0.16 eV per atom
Theoretical density   8.84 g/cm³
E_tot   -0.139 Ha/atom
SG   C2/c, No. 15

a b c (Å): 7.1069 9.1305 9.7027
angles (deg): 97.39 111.48 90.00
With the nearest neighbours (Å) after each atom.
Fractional positions:
Ac 0.0277 0.0736 0.8059  2 Tl 3.43-3.44
Ac 0.4027 0.1944 0.5638  3 Tl 3.44-3.51
Ac 0.2218 0.4264 0.1941  2 Tl 3.43-3.44
Ac 0.3774 0.7500 0.0000  4 Tl 3.38-3.39
Ac 0.1611 0.6944 0.5638  3 Tl 3.44-3.51
Ac 0.5973 0.8056 0.4362  3 Tl 3.44-3.51
Ac 0.7782 0.5736 0.8059  2 Tl 3.43-3.44
Ac 0.8389 0.3056 0.4362  3 Tl 3.44-3.51
Ac 0.9723 0.9264 0.1941  2 Tl 3.43-3.44
Ac 0.6226 0.2500 0.0000  4 Tl 3.38-3.39
Tl 0.5790 0.9160 0.7905  7 Ac 3.38-3.51
Tl 0.4210 0.0840 0.2095  7 Ac 3.38-3.51
Tl 0.2115 0.4160 0.7905  7 Ac 3.38-3.51
Tl 0.7885 0.5840 0.2095  7 Ac 3.38-3.51

(4)
Nd12YEr2 after structural relaxation. Source: Alexandria, functional PBE-GGA.

Properties
Density of states at the Fermi level   44.953 states/eV per cell
ΔE_f   0.16 eV per atom
Theoretical density   6.81 g/cm³
E_tot   -0.173 Ha/atom
SG   Cmme, No. 67

a b c (Å): 6.8468 6.8468 25.0421
angles (deg): 90.00 90.00 116.50
With the nearest neighbours (Å) after each atom.
Fractional positions:
Er 0.0000 0.5000 0.2706  2 Er 3.60, 10 Nd 3.68-3.93
Er 0.5000 0.0000 0.7294  2 Er 3.60, 10 Nd 3.68-3.93
Er 0.5000 0.0000 0.2670  2 Er 3.60, 10 Nd 3.71-3.86
Er 0.0000 0.5000 0.7330  2 Er 3.60, 10 Nd 3.71-3.86
Nd 0.0000 0.0000 0.1988  3 Nd 3.14-3.37
Nd 0.5000 0.5000 0.6757  3 Nd 3.14-3.42
Nd 0.0000 0.0000 0.3243  3 Nd 3.14-3.42
Nd 0.5000 0.5000 0.8012  3 Nd 3.14-3.37
Nd 0.2312 0.7312 0.5859  7 Nd 3.33-3.68
Nd 0.2518 0.2482 0.0743  2 Y 3.45-3.46, 9 Nd 3.60-3.72
Nd 0.2736 0.2264 0.5603  5 Nd 3.07-3.42
Nd 0.0000 0.0000 0.6757  3 Nd 3.14-3.42
Nd 0.7518 0.7482 0.9257  2 Y 3.45-3.46, 9 Nd 3.60-3.72
Nd 0.2513 0.7513 0.8690  8 Nd 3.37-3.72, 2 Y 3.72-3.77
Nd 0.7736 0.7264 0.4397  5 Nd 3.07-3.42
Nd 0.5000 0.5000 0.1988  3 Nd 3.14-3.37
Nd 0.7264 0.7736 0.5603  5 Nd 3.07-3.42
Nd 0.2482 0.2518 0.9257  2 Y 3.45-3.46, 9 Nd 3.60-3.72
Nd 0.5000 0.5000 0.3243  3 Nd 3.14-3.42
Nd 0.2264 0.2736 0.4397  5 Nd 3.07-3.42
Nd 0.7482 0.7518 0.0743  2 Y 3.45-3.46, 9 Nd 3.60-3.72
Nd 0.2688 0.7688 0.4141  7 Nd 3.33-3.68
Nd 0.2487 0.7487 0.1310  8 Nd 3.37-3.72, 2 Y 3.72-3.77
Nd 0.7487 0.2487 0.8690  8 Nd 3.37-3.72, 2 Y 3.72-3.77
Nd 0.7688 0.2688 0.5859  7 Nd 3.33-3.68
Nd 0.7513 0.2513 0.1310  8 Nd 3.37-3.72, 2 Y 3.72-3.77
Nd 0.0000 0.0000 0.8012  3 Nd 3.14-3.37
Nd 0.7312 0.2312 0.4141  7 Nd 3.33-3.68
Y 0.5000 0.0000 0.9992  8 Nd 3.45-3.77, 2 Y 3.60
Y 0.0000 0.5000 0.0008  8 Nd 3.45-3.77, 2 Y 3.60

(5)
CaPrCoAg after structural relaxation. Source: Alexandria, functional PBE-GGA.

Properties
Density of states at the Fermi level   2.684 states/eV per cell
ΔE_f   0.02 eV per atom
Theoretical density   6.20 g/cm³
E_tot   -0.153 Ha/atom
SG   F-43m, No. 216

a b c (Å): 5.0884 5.0884 5.0884
angles (deg): 60.00 60.00 60.00
With the nearest neighbours (Å) after each atom.
Fractional positions:
Ag 0.2500 0.2500 0.2500  4 Pr 3.12, 4 Ca 3.12
Pr 0.0000 0.0000 0.0000  4 Ag 3.12, 4 Co 3.12
Co 0.7500 0.7500 0.7500  4 Ca 3.12, 4 Pr 3.12
Ca 0.5000 0.5000 0.5000  4 Co 3.12, 4 Ag 3.12

(6)
Cd2AgPb after structural relaxation. Source: Alexandria, functional PBE-GGA.

Properties
Density of states at the Fermi level   1.296 states/eV per cell
ΔE_f   0.04 eV per atom
Theoretical density   9.44 g/cm³
E_tot   -0.075 Ha/atom
SG   C2/m, No. 12

a b c (Å): 6.0125 6.0125 5.5411
angles (deg): 72.36 72.36 29.96
With the nearest neighbours (Å) after each atom.
Fractional positions:
Cd 0.9774 0.9774 0.0236  2 Ag 2.98, 6 Cd 3.11-3.30
Cd 0.5226 0.5226 0.4764  2 Ag 2.98, 6 Cd 3.11-3.30
Pb 0.7500 0.7500 0.7500  2 Pb 3.11, 4 Ag 3.18, 6 Cd 3.43
Ag 0.2500 0.2500 0.2500  4 Cd 2.98, 2 Ag 3.11, 4 Pb 3.18

(7)
KMg2Bi2Pb after structural relaxation. Source: Alexandria, functional PBE-GGA.

Properties
Density of states at the Fermi level   1.723 states/eV per cell
ΔE_f   -0.25 eV per atom
Theoretical density   5.94 g/cm³
E_tot   -0.106 Ha/atom
SG   P-3m1, No. 164

a b c (Å): 5.2249 5.2249 8.4321
angles (deg): 90.00 90.00 120.00
With the nearest neighbours (Å) after each atom.
Fractional positions:
Mg 0.6667 0.3333 0.3563  4 Bi 3.10-3.12, 3 Pb 3.25
Mg 0.3333 0.6667 0.6437  4 Bi 3.10-3.12, 3 Pb 3.25
Bi 0.6667 0.3333 0.7265  4 Mg 3.10-3.12
Bi 0.3333 0.6667 0.2735  4 Mg 3.10-3.12
Pb 0.0000 0.0000 0.5000  6 Mg 3.25, 6 Bi 3.57
K 0.0000 0.0000 0.0000  6 Bi 3.80, 2 Pb 4.22

(8)
SrGaCu3 after structural relaxation. Source: Alexandria, functional PBE-GGA.

Properties
Density of states at the Fermi level   6.626 states/eV per cell
Distance to the lowest polymorph of the same formula   0.096 eV/atom
ΔE_f   -0.06 eV per atom
Theoretical density   6.11 g/cm³
E_tot   -0.127 Ha/atom
SG   P6_3/mmc, No. 194

a b c (Å): 5.7807 6.1451 6.1451
angles (deg): 120.00 90.00 90.00
With the nearest neighbours (Å) after each atom.
Fractional positions:
Ga 0.0000 0.0000 0.0000  6 Cu 2.56
Ga 0.5000 0.0000 0.0000  6 Cu 2.56
Cu 0.7500 0.1983 0.8018  2 Cu 2.49, 2 Ga 2.56
Cu 0.7500 0.6035 0.8018  2 Cu 2.49, 2 Ga 2.56
Cu 0.7500 0.1982 0.3965  2 Cu 2.49, 2 Ga 2.56
Cu 0.2500 0.8018 0.6035  2 Cu 2.49, 2 Ga 2.56
Cu 0.2500 0.3965 0.1982  2 Cu 2.49, 2 Ga 2.56
Cu 0.2500 0.8017 0.1982  2 Cu 2.49, 2 Ga 2.56
Sr 0.7500 0.6667 0.3334  12 Cu 3.09-3.23
Sr 0.2500 0.3333 0.6666  12 Cu 3.09-3.23

(9)
LiTbSi2Ni after structural relaxation. Source: Alexandria, functional PBE-GGA.

Properties
Density of states at the Fermi level   2.646 states/eV per cell
Theoretical density   5.91 g/cm³
Formation energy without anion corrections   -650 meV/atom
E_tot   -0.194 Ha/atom
SG   I-4m2, No. 119

a b c (Å): 3.9822 3.9822 5.7143
angles (deg): 110.39 110.39 90.00
With the nearest neighbours (Å) after each atom.
Fractional positions:
Li 0.7500 0.2500 0.5000  4 Si 2.38
Si 0.6195 0.6195 0.2390  1 Si 2.38, 2 Li 2.38, 2 Ni 2.38
Si 0.3805 0.3805 0.7610  1 Si 2.38, 2 Li 2.38, 2 Ni 2.38
Tb 0.0000 0.0000 0.0000  8 Si 3.06, 4 Li 3.19, 4 Ni 3.19
Ni 0.2500 0.7500 0.5000  4 Si 2.38

(10)
NdEr4P5 after structural relaxation. Source: Alexandria, functional PBE-GGA.

Properties
Density of states at the Fermi level   1.575 states/eV per cell
ΔE_f   -1.59 eV per atom
Theoretical density   7.05 g/cm³
E_tot   -0.242 Ha/atom
SG   C2/m, No. 12

a b c (Å): 4.0120 6.9412 8.9677
angles (deg): 75.07 77.07 73.20
With the nearest neighbours (Å) after each atom.
Fractional positions:
Er 0.7993 0.6047 0.7968  6 P 2.80-2.85
Er 0.4015 0.7972 0.3998  6 P 2.79-2.83
Er 0.5985 0.2028 0.6002  6 P 2.79-2.83
Er 0.2007 0.3953 0.2032  6 P 2.80-2.85
Nd 0.0000 0.0000 0.0000  6 P 2.89-2.90
P 0.2027 0.9013 0.6934  5 Er 2.79-2.83, 1 Nd 2.89
P 0.7973 0.0987 0.3066  5 Er 2.79-2.83, 1 Nd 2.89
P 0.3955 0.3127 0.8963  4 Er 2.80-2.85, 2 Nd 2.90
P 0.6045 0.6873 0.1037  4 Er 2.80-2.85, 2 Nd 2.90
P 0.0000 0.5000 0.5000  6 Er 2.82

(11)
TaRuS after structural relaxation. Source: Alexandria, functional PBE-GGA.

Properties
Density of states at the Fermi level   4.677 states/eV per cell
Theoretical density   9.45 g/cm³
Formation energy without anion corrections   -269 meV/atom
E_tot   -0.319 Ha/atom
SG   I4/mmm, No. 139

a b c (Å): 3.1883 3.1883 11.0912
angles (deg): 98.26 98.26 90.00
With the nearest neighbours (Å) after each atom.
Fractional positions:
S 0.8206 0.8206 0.6413  4 Ta 2.58, 1 Ru 2.67
S 0.1794 0.1794 0.3587  4 Ta 2.58, 1 Ru 2.67
Ta 0.3780 0.3780 0.7560  4 S 2.58, 4 Ru 2.66
Ta 0.6220 0.6220 0.2440  4 S 2.58, 4 Ru 2.66
Ru 0.9434 0.9434 0.8868  1 Ru 2.46, 4 Ta 2.66, 1 S 2.67
Ru 0.0566 0.0566 0.1132  1 Ru 2.46, 4 Ta 2.66, 1 S 2.67